Entry 1:
Here is an optimized crystal structure of CdBC3 from Alexandria via LeMat-Bulk. Energies are from PBE.

Lattice parameters (Å, degrees): 4.294 4.294 4.294 90.00 90.00 90.00
Element x y z (fractional)
1 C 0.000 0.500 0.000
2 C 0.000 0.000 0.500
3 C 0.500 0.000 0.000
4 B 0.500 0.500 0.500
5 Cd 0.000 0.000 0.000

Computed properties:
spin magnetization = 0.00 μB per formula unit
E_form = 4.2545 eV per atom
crystal system = cubic
relative energy among the computed polymorphs = 9.00 eV/f.u.

---

Entry 2:
Here is an optimized crystal structure of CdBCCl2 from Alexandria via LeMat-Bulk. Energies are from PBE.

Lattice parameters (Å, degrees): 4.851 4.851 4.257 90.00 90.00 90.00
Each line ends with the local moment (μB).
Element x y z (fractional)
1 C 0.000 0.000 0.000  0.08
2 Cl 0.000 0.500 0.000  -0.01
3 Cl 0.500 0.000 0.000  -0.01
4 B 0.500 0.500 0.500  0.10
5 Cd 0.000 0.000 0.500  0.01

Computed properties:
spin magnetization = 0.38 μB per formula unit
crystal system = tetragonal
raw total energy = -12.52 eV for the cell shown

---

Entry 3:
Here is an optimized crystal structure of CdCuBC2 from Alexandria via LeMat-Bulk. Energies are from PBE.

Lattice parameters (Å, degrees): 4.148 4.975 4.148 90.00 90.00 90.00
Each line ends with the local moment (μB).
Element x y z (fractional)
1 C 0.000 0.000 0.500  0.12
2 C 0.500 0.000 0.000  0.19
3 B 0.500 0.500 0.500  -0.04
4 Cu 0.000 0.500 0.000  0.01
5 Cd 0.000 0.000 0.000  0.00

Computed properties:
spin magnetization = 0.46 μB per formula unit
E_form = 3.3245 eV per atom
crystal system = tetragonal

---

Entry 4:
Here is an optimized crystal structure of CdCu2BC from Alexandria via LeMat-Bulk. Energies are from PBE.

Lattice parameters (Å, degrees): 4.822 4.094 4.822 90.00 90.00 90.00
Each line ends with the local moment (μB).
Element x y z (fractional)
1 C 0.500 0.500 0.500  0.63
2 B 0.000 0.500 0.000  -0.04
3 Cu 0.000 0.000 0.500  0.01
4 Cu 0.500 0.000 0.000  -0.02
5 Cd 0.000 0.000 0.000  -0.02

Computed properties:
spin magnetization = 1.04 μB per formula unit
E_form = 2.5488 eV per atom
crystal system = tetragonal

---

Entry 5:
Here is an optimized crystal structure of CdBPC from Alexandria via LeMat-Bulk. Energies are from PBE.

Lattice parameters (Å, degrees): 2.810 4.105 5.855 97.26 105.86 91.77
Element x y z (fractional)
1 P 0.350 0.571 0.124
2 C 0.878 0.856 0.153
3 B 0.890 0.215 0.169
4 Cd 0.102 0.357 0.629

Computed properties:
spin magnetization = 0.00 μB per formula unit
E_form = 0.6518 eV per atom
crystal system = triclinic
relative energy among the computed polymorphs = 1.12 eV/f.u.

---

Entry 6:
Here is an optimized crystal structure of CdBPC from Alexandria via LeMat-Bulk. Energies are from PBE.

Lattice parameters (Å, degrees): 2.691 4.440 6.424 108.56 90.14 107.64
Element x y z (fractional)
1 P 0.863 0.865 0.794
2 C 0.692 0.523 0.897
3 B 0.112 0.361 0.904
4 Cd 0.626 0.394 0.330

Computed properties:
spin magnetization = 0.00 μB per formula unit
E_form = 0.3743 eV per atom
crystal system = triclinic
relative energy among the computed polymorphs = 0.01 eV/f.u.

---

Entry 7:
Here is an optimized crystal structure of CdBPC from Alexandria via LeMat-Bulk. Energies are from PBE.

Lattice parameters (Å, degrees): 2.700 4.435 6.305 68.36 77.13 72.28
Element x y z (fractional)
1 P 0.576 0.747 0.784
2 C 0.346 0.091 0.895
3 B 0.763 0.256 0.896
4 Cd 0.316 0.688 0.350

Computed properties:
spin magnetization = 0.00 μB per formula unit
E_form = 0.3716 eV per atom
crystal system = triclinic
relative energy among the computed polymorphs = 0.00 eV/f.u.

---

Entry 8:
Here is an optimized crystal structure of CdBPC from Alexandria via LeMat-Bulk. Energies are from PBE.

Lattice parameters (Å, degrees): 5.597 3.258 8.182 90.00 117.91 90.00
Element x y z (fractional)
1 P 0.191 0.000 0.231
2 P 0.191 0.500 0.731
3 C 0.052 0.000 0.990
4 C 0.052 0.500 0.490
5 B 0.121 0.000 0.836
6 B 0.121 0.500 0.336
7 Cd 0.711 0.000 0.386
8 Cd 0.711 0.500 0.886

Computed properties:
spin magnetization = 0.00 μB per formula unit
E_form = 0.4904 eV per atom
crystal system = monoclinic
relative energy among the computed polymorphs = 0.48 eV/f.u.

---

Entry 9:
Here is an optimized crystal structure of CdBPC from Alexandria via LeMat-Bulk. Energies are from PBE.

Lattice parameters (Å, degrees): 6.289 2.900 8.241 90.00 121.72 90.00
Element x y z (fractional)
1 P 0.208 0.000 0.946
2 P 0.208 0.500 0.446
3 C 0.132 0.000 0.530
4 C 0.132 0.500 0.030
5 B 0.046 0.000 0.669
6 B 0.046 0.500 0.169
7 Cd 0.688 0.000 0.074
8 Cd 0.688 0.500 0.574

Computed properties:
spin magnetization = 0.00 μB per formula unit
E_form = 0.4696 eV per atom
crystal system = monoclinic
relative energy among the computed polymorphs = 0.39 eV/f.u.

---

Entry 10:
Here is an optimized crystal structure of CdBPC from Alexandria via LeMat-Bulk. Energies are from PBE.

Lattice parameters (Å, degrees): 2.815 2.966 6.616 90.00 100.75 90.00
Element x y z (fractional)
1 P 0.100 0.500 0.284
2 C 0.023 0.000 0.105
3 B 0.473 0.000 0.990
4 Cd 0.329 0.500 0.695

Computed properties:
spin magnetization = 0.00 μB per formula unit
E_form = 0.4304 eV per atom
crystal system = monoclinic
relative energy among the computed polymorphs = 0.24 eV/f.u.

---

Entry 11:
Here is an optimized crystal structure of CdBPC from Alexandria via LeMat-Bulk. Energies are from PBE.

Lattice parameters (Å, degrees): 3.119 3.407 5.305 99.19 96.56 98.58
Element x y z (fractional)
1 P 0.491 0.547 0.266
2 C 0.141 0.153 0.019
3 B 0.652 0.034 0.110
4 Cd 0.130 0.484 0.680

Computed properties:
spin magnetization = 0.00 μB per formula unit
E_form = 0.5554 eV per atom
crystal system = triclinic
relative energy among the computed polymorphs = 0.74 eV/f.u.

---

Entry 12:
Here is an optimized crystal structure of Cd2BPdC from Alexandria via LeMat-Bulk. Energies are from PBE.

Lattice parameters (Å, degrees): 5.214 3.800 5.214 90.00 90.00 90.00
Element x y z (fractional)
1 C 0.000 0.500 0.000
2 B 0.500 0.500 0.500
3 Pd 0.000 0.000 0.000
4 Cd 0.000 0.000 0.500
5 Cd 0.500 0.000 0.000

Computed properties:
spin magnetization = 0.00 μB per formula unit
E_form = 1.5127 eV per atom
crystal system = tetragonal

---

Entry 13:
Here is an optimized crystal structure of Rb2CdBC from Alexandria via LeMat-Bulk. Energies are from PBE.

Lattice parameters (Å, degrees): 6.348 4.332 6.348 90.00 90.00 90.00
Each line ends with the local moment (μB).
Element x y z (fractional)
1 C 0.500 0.500 0.500  1.12
2 B 0.000 0.000 0.000  -0.26
3 Rb 0.000 0.000 0.500  -0.01
4 Rb 0.500 0.000 0.000  -0.01
5 Cd 0.000 0.500 0.000  -0.03

Computed properties:
spin magnetization = 1.88 μB per formula unit
E_form = 1.5377 eV per atom
crystal system = tetragonal

---

Entry 14:
Here is an optimized crystal structure of CdSi2BC from Alexandria via LeMat-Bulk. Energies are from PBE.

Lattice parameters (Å, degrees): 3.903 3.903 4.742 90.00 90.00 90.00
Element x y z (fractional)
1 Si 0.000 0.500 0.000
2 Si 0.500 0.000 0.000
3 B 0.500 0.500 0.500
4 C 0.000 0.000 0.000
5 Cd 0.000 0.000 0.500

Computed properties:
spin magnetization = 0.00 μB per formula unit
crystal system = tetragonal
raw total energy = -20.12 eV for the cell shown

---

Entry 15:
Here is an optimized crystal structure of Cd2SnBC from Alexandria via LeMat-Bulk. Energies are from PBE.

Lattice parameters (Å, degrees): 5.669 4.257 5.669 90.00 90.00 90.00
Each line ends with the local moment (μB).
Element x y z (fractional)
1 C 0.500 0.500 0.500  1.00
2 B 0.000 0.500 0.000  -0.21
3 Sn 0.000 0.000 0.000  0.04
4 Cd 0.000 0.000 0.500  -0.04
5 Cd 0.500 0.000 0.000  0.00

Computed properties:
spin magnetization = 1.80 μB per formula unit
E_form = 2.1702 eV per atom
crystal system = tetragonal

---

Entry 16:
Here is an optimized crystal structure of CeB2C from Alexandria via LeMat-Bulk. Energies are from PBE.

Lattice parameters (Å, degrees): 5.355 5.355 5.355 76.20 76.20 76.20
Each line ends with the local moment (μB).
Element x y z (fractional)
1 Ce 0.686 0.686 0.686  0.02
2 Ce 0.314 0.314 0.314  0.02
3 Ce 0.000 0.000 0.000  0.10
4 B 0.500 0.775 0.225  0.00
5 B 0.225 0.500 0.775  0.00
6 B 0.775 0.225 0.500  0.00
7 B 0.500 0.225 0.775  0.00
8 B 0.225 0.775 0.500  0.00
9 B 0.775 0.500 0.225  0.00
10 C 0.000 0.000 0.500  0.00
11 C 0.000 0.500 0.000  0.00
12 C 0.500 0.000 0.000  0.00

Computed properties:
spin magnetization = 0.05 μB per formula unit
E_form = -0.5280 eV per atom
crystal system = trigonal

---

Entry 17:
Here is an optimized crystal structure of CeB4C2 from Alexandria via LeMat-Bulk. Energies are from PBE.

Lattice parameters (Å, degrees): 4.279 6.085 6.085 90.00 90.00 90.00
Element x y z (fractional)
1 Ce 0.500 0.000 0.000
2 Ce 0.000 0.500 0.500
3 B 0.000 0.947 0.382
4 B 0.000 0.053 0.618
5 B 0.500 0.118 0.447
6 B 0.500 0.882 0.553
7 B 0.500 0.553 0.882
8 B 0.500 0.447 0.118
9 B 0.000 0.382 0.947
10 B 0.000 0.618 0.053
11 C 0.000 0.189 0.811
12 C 0.000 0.811 0.189
13 C 0.500 0.689 0.689
14 C 0.500 0.311 0.311

Computed properties:
spin magnetization = 0.00 μB per formula unit
E_form = 0.1234 eV per atom
crystal system = tetragonal

---

Entry 18:
Here is an optimized crystal structure of CeBC from Alexandria via LeMat-Bulk. Energies are from PBE.

Lattice parameters (Å, degrees): 3.242 4.060 7.409 105.77 90.00 113.53
Element x y z (fractional)
1 Ce 0.079 0.158 0.770
2 Ce 0.921 0.842 0.230
3 B 0.275 0.549 0.503
4 B 0.725 0.451 0.497
5 C 0.591 0.182 0.048
6 C 0.409 0.818 0.952

Computed properties:
spin magnetization = 0.00 μB per formula unit
E_form = -0.2103 eV per atom
crystal system = monoclinic
relative energy among the computed polymorphs = 0.56 eV/f.u.

---

Entry 19:
Here is an optimized crystal structure of CeBC from Alexandria via LeMat-Bulk. Energies are from PBE.

Lattice parameters (Å, degrees): 8.296 8.310 12.077 90.00 90.00 90.00
Element x y z (fractional)
1 Ce 0.446 0.098 0.862
2 Ce 0.942 0.800 0.635
3 Ce 0.342 0.592 0.096
4 Ce 0.658 0.491 0.914
5 Ce 0.842 0.908 0.904
6 Ce 0.554 0.598 0.638
7 Ce 0.842 0.509 0.414
8 Ce 0.256 0.292 0.331
9 Ce 0.756 0.208 0.669
10 Ce 0.058 0.300 0.865
11 Ce 0.054 0.902 0.362
12 Ce 0.342 0.991 0.586
13 Ce 0.558 0.200 0.135
14 Ce 0.744 0.792 0.169
15 Ce 0.442 0.700 0.365
16 Ce 0.158 0.408 0.596
17 Ce 0.158 0.009 0.086
18 Ce 0.244 0.708 0.831
19 Ce 0.946 0.402 0.138
20 Ce 0.658 0.092 0.404
21 B 0.059 0.705 0.180
22 B 0.941 0.205 0.320
23 B 0.396 0.984 0.262
24 B 0.559 0.795 0.820
25 B 0.975 0.607 0.958
26 B 0.877 0.098 0.214
27 B 0.475 0.893 0.042
28 B 0.623 0.902 0.714
29 B 0.104 0.016 0.762
30 B 0.811 0.198 0.991
31 B 0.189 0.698 0.509
32 B 0.896 0.516 0.738
33 B 0.377 0.402 0.786
34 B 0.123 0.598 0.286
35 B 0.441 0.295 0.680
36 B 0.604 0.484 0.238
37 B 0.025 0.107 0.542
38 B 0.525 0.393 0.458
39 B 0.311 0.302 0.009
40 B 0.689 0.802 0.491
41 C 0.058 0.116 0.664
42 C 0.151 0.597 0.408
43 C 0.974 0.200 0.441
44 C 0.857 0.506 0.618
45 C 0.251 0.695 0.624
46 C 0.349 0.403 0.908
47 C 0.942 0.616 0.836
48 C 0.849 0.097 0.092
49 C 0.526 0.800 0.941
50 C 0.474 0.300 0.559
51 C 0.249 0.305 0.124
52 C 0.442 0.884 0.164
53 C 0.143 0.006 0.882
54 C 0.026 0.700 0.059
55 C 0.357 0.994 0.382
56 C 0.749 0.195 0.876
57 C 0.643 0.494 0.118
58 C 0.651 0.903 0.592
59 C 0.751 0.805 0.376
60 C 0.558 0.384 0.336

Computed properties:
spin magnetization = 0.00 μB per formula unit
E_form = -0.3971 eV per atom
crystal system = orthorhombic
relative energy among the computed polymorphs = 0.00 eV/f.u.

---

Entry 20:
Here is an optimized crystal structure of Ce2B3C from Alexandria via LeMat-Bulk. Energies are from PBE.

Lattice parameters (Å, degrees): 5.262 5.262 6.140 106.98 106.98 108.58
Element x y z (fractional)
1 Ce 0.750 0.250 0.500
2 Ce 0.755 0.245 0.000
3 Ce 0.250 0.750 0.500
4 Ce 0.245 0.755 0.000
5 B 0.825 0.825 0.173
6 B 0.651 0.651 0.827
7 B 0.175 0.175 0.827
8 B 0.349 0.349 0.173
9 B 0.174 0.174 0.348
10 B 0.826 0.826 0.652
11 C 0.666 0.666 0.333
12 C 0.334 0.334 0.667

Computed properties:
spin magnetization = 0.00 μB per formula unit
E_form = -0.4589 eV per atom
crystal system = orthorhombic